#P
BaAs2SeO | PBE | optimized geometry

size of the total moment: 0.000 μB per formula unit

Cell and atoms, written as extended XYZ:
```
5
Lattice="4.552 0.000 0.000 0.000 4.552 0.000 0.000 0.000 5.266" Properties=species:S:1:pos:R:3 pbc="T T T"
Ba 0.000 0.000 0.000
As 0.000 2.276 2.633
As 2.276 0.000 2.633
Se 2.276 2.276 0.000
O 2.276 2.276 2.633
```

***

#Q
BaAs2SeO | PBE | optimized geometry

size of the total moment: 5.792 μB per formula unit

Cell and atoms, written as extended XYZ:
```
5
Lattice="6.701 0.000 0.000 0.000 6.701 0.000 0.000 0.000 6.231" Properties=species:S:1:pos:R:3 pbc="T T T"
Ba 0.000 0.000 0.000
As 0.000 3.350 0.000
As 3.350 0.000 0.000
Se 0.000 0.000 3.116
O 3.350 3.350 3.116
```

***

Least stable = #Q

***

#P
BaAsSeO2 | PBE | optimized geometry

size of the total moment: 0.083 μB per formula unit

Cell and atoms, written as extended XYZ:
```
10
Lattice="2.804 -7.899 0.000 2.804 7.899 0.000 0.000 0.000 5.212" Properties=species:S:1:pos:R:3 pbc="T T T"
Ba 2.804 6.086 3.909
Ba 2.804 -6.086 1.303
As 2.804 0.785 3.909
As 2.804 -0.785 1.303
Se 2.804 3.911 1.303
Se 2.804 -3.911 3.909
O 1.590 0.000 0.000
O 1.590 0.000 2.606
O 4.017 0.000 0.000
O 4.017 0.000 2.606
```

***

#Q
BaAsSeO2 | PBE | optimized geometry

size of the total moment: 0.000 μB per formula unit

Cell and atoms, written as extended XYZ:
```
5
Lattice="4.400 0.000 0.000 0.000 4.400 0.000 0.000 0.000 4.909" Properties=species:S:1:pos:R:3 pbc="T T T"
Ba 0.000 0.000 0.000
As 2.200 2.200 0.000
Se 2.200 2.200 2.455
O 0.000 2.200 2.455
O 2.200 0.000 2.455
```

***

Least stable = #Q